Al2TeMo: optimized geometry, GGA-PBE.

Symmetry ... I-42d (122)
Raw formation energy ... 533 meV per atom
Volume ... 161 Å³ per cell

Structure (CIF):
```
data_Al2TeMo
_symmetry_space_group_name_H-M 'P 1'
_symmetry_Int_Tables_number 1
_cell_length_a 6.040
_cell_length_b 6.040
_cell_length_c 6.040
_cell_angle_alpha 102.50
_cell_angle_beta 102.50
_cell_angle_gamma 124.55
loop_
_symmetry_equiv_pos_as_xyz
'x,y,z'
loop_
_atom_site_label
_atom_site_fract_x
_atom_site_fract_y
_atom_site_fract_z
Al1 0.107 0.125 0.482
Al2 0.375 0.893 0.018
Al3 0.643 0.625 0.518
Al4 0.875 0.357 0.982
Te1 0.250 0.750 0.500
Te2 0.500 0.500 0.000
Mo1 0.000 0.000 0.000
Mo2 0.750 0.250 0.500
```

---

AgPbCl2: optimized geometry, GGA-PBE.

Symmetry ... Cmmm (65)
Raw formation energy ... -487 meV per atom
E above lowest polymorph ... 0.010 eV per atom
Volume ... 101 Å³ per cell

Structure (CIF):
```
data_AgPbCl2
_symmetry_space_group_name_H-M 'P 1'
_symmetry_Int_Tables_number 1
_cell_length_a 3.643
_cell_length_b 3.643
_cell_length_c 8.515
_cell_angle_alpha 90.00
_cell_angle_beta 90.00
_cell_angle_gamma 117.07
loop_
_symmetry_equiv_pos_as_xyz
'x,y,z'
loop_
_atom_site_label
_atom_site_fract_x
_atom_site_fract_y
_atom_site_fract_z
Ag1 0.000 0.000 0.000
Pb1 0.000 0.000 0.500
Cl1 0.500 0.500 0.216
Cl2 0.500 0.500 0.784
```

---

BaTcHg2: optimized geometry, GGA-PBE.

ΔE_f ... 0.297 eV per atom
Symmetry ... R-3m (166)
E above lowest polymorph ... 0.317 eV per atom
Volume ... 117 Å³ per cell

Structure (CIF):
```
data_BaTcHg2
_symmetry_space_group_name_H-M 'P 1'
_symmetry_Int_Tables_number 1
_cell_length_a 6.616
_cell_length_b 6.616
_cell_length_c 6.616
_cell_angle_alpha 42.04
_cell_angle_beta 42.04
_cell_angle_gamma 42.04
loop_
_symmetry_equiv_pos_as_xyz
'x,y,z'
loop_
_atom_site_label
_atom_site_fract_x
_atom_site_fract_y
_atom_site_fract_z
Ba1 0.000 0.000 0.000
Tc1 0.500 0.500 0.500
Hg1 0.208 0.208 0.208
Hg2 0.792 0.792 0.792
```

---

TiMn2InH: optimized geometry, GGA-PBE.

Symmetry ... P4/mmm (123)
Volume ... 62 Å³ per cell
Calculated total energy ... -6.516 eV/atom

Structure (CIF):
```
data_TiMn2InH
_symmetry_space_group_name_H-M 'P 1'
_symmetry_Int_Tables_number 1
_cell_length_a 4.028
_cell_length_b 4.028
_cell_length_c 3.841
_cell_angle_alpha 90.00
_cell_angle_beta 90.00
_cell_angle_gamma 90.00
loop_
_symmetry_equiv_pos_as_xyz
'x,y,z'
loop_
_atom_site_label
_atom_site_fract_x
_atom_site_fract_y
_atom_site_fract_z
Ti1 0.000 0.000 0.000
Mn1 0.000 0.500 0.500
Mn2 0.500 0.000 0.500
In1 0.500 0.500 0.000
H1 0.000 0.000 0.500
```

---

KCaAsO12: optimized geometry, GGA-PBE.

Symmetry ... Pm (6)
Raw formation energy ... -759 meV per atom
E above lowest polymorph ... 0.000 eV per atom
Volume ... 338 Å³ per cell

Structure (CIF):
```
data_KCaAsO12
_symmetry_space_group_name_H-M 'P 1'
_symmetry_Int_Tables_number 1
_cell_length_a 8.265
_cell_length_b 5.392
_cell_length_c 8.608
_cell_angle_alpha 90.00
_cell_angle_beta 118.32
_cell_angle_gamma 90.00
loop_
_symmetry_equiv_pos_as_xyz
'x,y,z'
loop_
_atom_site_label
_atom_site_fract_x
_atom_site_fract_y
_atom_site_fract_z
K1 0.000 0.000 0.000
Ca1 0.702 0.000 0.220
As1 0.845 0.500 0.140
O1 0.059 0.500 0.155
O2 0.307 0.386 0.621
O3 0.307 0.614 0.621
O4 0.374 0.385 0.067
O5 0.374 0.615 0.067
O6 0.520 0.000 0.396
O7 0.572 0.000 0.558
O8 0.729 0.238 0.029
O9 0.729 0.762 0.029
O10 0.827 0.500 0.334
O11 0.923 0.386 0.704
O12 0.923 0.614 0.704
```

---

ThIn2HgBr6: optimized geometry, GGA-PBE.

Symmetry ... P1 (1)
Raw formation energy ... -1131 meV per atom
Volume ... 446 Å³ per cell

Structure (CIF):
```
data_ThIn2HgBr6
_symmetry_space_group_name_H-M 'P 1'
_symmetry_Int_Tables_number 1
_cell_length_a 8.141
_cell_length_b 8.223
_cell_length_c 8.995
_cell_angle_alpha 90.33
_cell_angle_beta 116.86
_cell_angle_gamma 119.60
loop_
_symmetry_equiv_pos_as_xyz
'x,y,z'
loop_
_atom_site_label
_atom_site_fract_x
_atom_site_fract_y
_atom_site_fract_z
Th1 0.000 0.000 0.000
In1 0.636 0.817 0.452
In2 0.691 0.347 0.034
Hg1 0.003 0.503 0.505
Br1 0.162 0.987 0.779
Br2 0.173 0.801 0.209
Br3 0.405 0.372 0.206
Br4 0.609 0.622 0.777
Br5 0.788 0.167 0.774
Br6 0.828 0.035 0.204
```

---

TaCr3Cu2S8: optimized geometry, GGA-PBE.

Symmetry ... P2/c (13)
Raw formation energy ... -618 meV per atom
E above lowest polymorph ... 0.094 eV per atom
Volume ... 501 Å³ per cell

Structure (CIF):
```
data_TaCr3Cu2S8
_symmetry_space_group_name_H-M 'P 1'
_symmetry_Int_Tables_number 1
_cell_length_a 7.045
_cell_length_b 5.933
_cell_length_c 12.495
_cell_angle_alpha 90.00
_cell_angle_beta 106.44
_cell_angle_gamma 90.00
loop_
_symmetry_equiv_pos_as_xyz
'x,y,z'
loop_
_atom_site_label
_atom_site_fract_x
_atom_site_fract_y
_atom_site_fract_z
Ta1 0.000 0.000 0.000
Ta2 0.000 0.000 0.500
Cr1 0.249 0.496 0.001
Cr2 0.249 0.504 0.501
Cr3 0.500 0.000 0.000
Cr4 0.500 0.000 0.500
Cr5 0.751 0.496 0.499
Cr6 0.751 0.504 0.999
Cu1 0.000 0.427 0.250
Cu2 0.000 0.573 0.750
Cu3 0.500 0.102 0.750
Cu4 0.500 0.898 0.250
S1 0.061 0.342 0.616
S2 0.061 0.658 0.116
S3 0.191 0.173 0.383
S4 0.191 0.827 0.883
S5 0.311 0.160 0.117
S6 0.311 0.840 0.617
S7 0.450 0.334 0.891
S8 0.450 0.666 0.391
S9 0.550 0.334 0.609
S10 0.550 0.666 0.109
S11 0.689 0.160 0.383
S12 0.689 0.840 0.883
S13 0.809 0.173 0.117
S14 0.809 0.827 0.617
S15 0.939 0.342 0.884
S16 0.939 0.658 0.384
```

---

Pr8Te4As3I: optimized geometry, GGA-PBE.

Symmetry ... R-3m (166)
Raw formation energy ... -1440 meV per atom
Volume ... 501 Å³ per cell

Structure (CIF):
```
data_Pr8Te4As3I
_symmetry_space_group_name_H-M 'P 1'
_symmetry_Int_Tables_number 1
_cell_length_a 8.969
_cell_length_b 8.969
_cell_length_c 8.969
_cell_angle_alpha 59.25
_cell_angle_beta 59.25
_cell_angle_gamma 59.25
loop_
_symmetry_equiv_pos_as_xyz
'x,y,z'
loop_
_atom_site_label
_atom_site_fract_x
_atom_site_fract_y
_atom_site_fract_z
Pr1 0.219 0.754 0.754
Pr2 0.240 0.240 0.240
Pr3 0.246 0.246 0.781
Pr4 0.246 0.781 0.246
Pr5 0.754 0.219 0.754
Pr6 0.754 0.754 0.219
Pr7 0.760 0.760 0.760
Pr8 0.781 0.246 0.246
Te1 0.000 0.000 0.000
Te2 0.000 0.500 0.500
Te3 0.500 0.000 0.500
Te4 0.500 0.500 0.000
As1 0.000 0.000 0.500
As2 0.000 0.500 0.000
As3 0.500 0.000 0.000
I1 0.500 0.500 0.500
```

---

CaNpTlCl6: optimized geometry, GGA-PBE.

Symmetry ... P-31c (163)
Raw formation energy ... -1802 meV per atom
Volume ... 623 Å³ per cell

Structure (CIF):
```
data_CaNpTlCl6
_symmetry_space_group_name_H-M 'P 1'
_symmetry_Int_Tables_number 1
_cell_length_a 7.249
_cell_length_b 7.249
_cell_length_c 13.682
_cell_angle_alpha 90.00
_cell_angle_beta 90.00
_cell_angle_gamma 120.00
loop_
_symmetry_equiv_pos_as_xyz
'x,y,z'
loop_
_atom_site_label
_atom_site_fract_x
_atom_site_fract_y
_atom_site_fract_z
Ca1 0.333 0.667 0.250
Ca2 0.667 0.333 0.750
Np1 0.333 0.667 0.750
Np2 0.667 0.333 0.250
Tl1 0.000 0.000 0.000
Tl2 0.000 0.000 0.500
Cl1 0.001 0.370 0.639
Cl2 0.001 0.631 0.861
Cl3 0.369 0.370 0.861
Cl4 0.369 0.999 0.639
Cl5 0.370 0.001 0.139
Cl6 0.370 0.369 0.361
Cl7 0.630 0.631 0.639
Cl8 0.630 0.999 0.861
Cl9 0.631 0.001 0.361
Cl10 0.631 0.630 0.139
Cl11 0.999 0.369 0.139
Cl12 0.999 0.630 0.361
```

---

Na3Ac2ScTe6: optimized geometry, GGA-PBE.

Symmetry ... C2/m (12)
Raw formation energy ... -1301 meV per atom
Volume ... 417 Å³ per cell

Structure (CIF):
```
data_Na3Ac2ScTe6
_symmetry_space_group_name_H-M 'P 1'
_symmetry_Int_Tables_number 1
_cell_length_a 7.997
_cell_length_b 7.997
_cell_length_c 8.006
_cell_angle_alpha 99.69
_cell_angle_beta 99.69
_cell_angle_gamma 120.03
loop_
_symmetry_equiv_pos_as_xyz
'x,y,z'
loop_
_atom_site_label
_atom_site_fract_x
_atom_site_fract_y
_atom_site_fract_z
Na1 0.000 0.000 0.000
Na2 0.329 0.671 0.000
Na3 0.671 0.329 0.000
Ac1 0.166 0.834 0.500
Ac2 0.834 0.166 0.500
Sc1 0.500 0.500 0.500
Te1 0.115 0.420 0.261
Te2 0.276 0.276 0.736
Te3 0.420 0.115 0.261
Te4 0.580 0.885 0.739
Te5 0.724 0.724 0.264
Te6 0.885 0.580 0.739
```

---

Hf2TcP2: optimized geometry, GGA-PBE.

ΔE_f ... -0.933 eV per atom
Symmetry ... P4/mbm (127)
Volume ... 159 Å³ per cell

Structure (CIF):
```
data_Hf2TcP2
_symmetry_space_group_name_H-M 'P 1'
_symmetry_Int_Tables_number 1
_cell_length_a 6.632
_cell_length_b 6.632
_cell_length_c 3.611
_cell_angle_alpha 90.00
_cell_angle_beta 90.00
_cell_angle_gamma 90.00
loop_
_symmetry_equiv_pos_as_xyz
'x,y,z'
loop_
_atom_site_label
_atom_site_fract_x
_atom_site_fract_y
_atom_site_fract_z
Hf1 0.159 0.341 0.000
Hf2 0.341 0.841 0.000
Hf3 0.659 0.159 0.000
Hf4 0.841 0.659 0.000
Tc1 0.000 0.000 0.500
Tc2 0.500 0.500 0.500
P1 0.146 0.646 0.500
P2 0.354 0.146 0.500
P3 0.646 0.854 0.500
P4 0.854 0.354 0.500
```

---

Tm3Al4Pt4: optimized geometry, GGA-PBE.

ΔE_f ... -1.153 eV per atom
Symmetry ... Immm (71)
Volume ... 207 Å³ per cell

Structure (CIF):
```
data_Tm3Al4Pt4
_symmetry_space_group_name_H-M 'P 1'
_symmetry_Int_Tables_number 1
_cell_length_a 8.154
_cell_length_b 8.154
_cell_length_c 8.154
_cell_angle_alpha 151.03
_cell_angle_beta 127.40
_cell_angle_gamma 61.16
loop_
_symmetry_equiv_pos_as_xyz
'x,y,z'
loop_
_atom_site_label
_atom_site_fract_x
_atom_site_fract_y
_atom_site_fract_z
Tm1 0.000 0.000 0.000
Tm2 0.381 0.881 0.500
Tm3 0.619 0.119 0.500
Al1 0.022 0.323 0.699
Al2 0.376 0.677 0.699
Al3 0.624 0.323 0.301
Al4 0.978 0.677 0.301
Pt1 0.218 0.218 0.000
Pt2 0.296 0.500 0.796
Pt3 0.704 0.500 0.204
Pt4 0.782 0.782 0.000
```

---

Q: Which of these has the lowest volume?
A: TiMn2InH